Record 1
## PIrPb (SCAN)

Data for PIrPb at its PBEsol-relaxed geometry.

Summary:
Density of states at the Fermi level = 1.679 states/eV/f.u.
Calculated formation energy = 260 meV/atom
Space group = F-43m (216)
Spin magnetization = 0.0 μB per cell

a b c (Å): 6.1792 6.1792 6.1792
angles (deg): 90.00 90.00 90.00
Fractional positions:
P 0.0000 0.0000 0.0000
P 0.0000 0.5000 0.5000
P 0.5000 0.0000 0.5000
P 0.5000 0.5000 0.0000
Ir 0.2500 0.2500 0.7500
Ir 0.2500 0.7500 0.2500
Ir 0.7500 0.2500 0.2500
Ir 0.7500 0.7500 0.7500
Pb 0.0000 0.0000 0.5000
Pb 0.0000 0.5000 0.0000
Pb 0.5000 0.0000 0.0000
Pb 0.5000 0.5000 0.5000

***

Record 2
## P2IrPbS (SCAN)

Data for P2IrPbS at its PBEsol-relaxed geometry.

Summary:
Density of states at the Fermi level = 4.916 states/eV/f.u.
ΔE_f (raw) = 2.212 eV per atom
Space group = P4/mmm (123)
Spin magnetization = 1.4 μB per cell

a b c (Å): 4.9572 4.9572 4.8883
angles (deg): 90.00 90.00 90.00
Fractional positions:
P 0.0000 0.5000 0.0000
P 0.5000 0.0000 0.0000
Ir 0.0000 0.0000 0.5000
Pb 0.5000 0.5000 0.0000
S 0.5000 0.5000 0.5000

***

Record 3
## RePIr2Pd (SCAN)

Data for RePIr2Pd at its PBEsol-relaxed geometry.

Summary:
Density of states at the Fermi level = 4.797 states/eV/f.u.
Calculated formation energy = 2271 meV/atom
Space group = P4/mmm (123)
Spin magnetization = 4.3 μB per cell

a b c (Å): 4.7520 4.7520 4.1046
angles (deg): 90.00 90.00 90.00
Fractional positions:
Re 0.0000 0.0000 0.0000
P 0.5000 0.5000 0.0000
Ir 0.0000 0.5000 0.5000
Ir 0.5000 0.0000 0.5000
Pd 0.5000 0.5000 0.5000

***

Record 4
## P2IrPdS (SCAN)

Data for P2IrPdS at its PBEsol-relaxed geometry.

Summary:
Density of states at the Fermi level = 3.185 states/eV/f.u.
ΔE_f (raw) = 1.397 eV per atom
Space group = P4/mmm (123)
Spin magnetization = 0.0 μB per cell

a b c (Å): 4.4406 4.4406 4.5812
angles (deg): 90.00 90.00 90.00
Fractional positions:
P 0.0000 0.5000 0.0000
P 0.5000 0.0000 0.0000
Ir 0.0000 0.0000 0.5000
Pd 0.5000 0.5000 0.0000
S 0.5000 0.5000 0.5000

***

Record 5
## P2IrPdS (SCAN)

Data for P2IrPdS at its PBEsol-relaxed geometry.

Summary:
Density of states at the Fermi level = 4.518 states/eV/f.u.
ΔE_f (raw) = 0.828 eV per atom
Space group = P4/mmm (123)
Spin magnetization = 0.0 μB per cell

a b c (Å): 4.4132 4.4132 4.9570
angles (deg): 90.00 90.00 90.00
Fractional positions:
P 0.0000 0.5000 0.0000
P 0.5000 0.0000 0.0000
Ir 0.0000 0.0000 0.0000
Pd 0.5000 0.5000 0.5000
S 0.0000 0.0000 0.5000

***

Record 6
## PrPIr (SCAN)

Data for PrPIr at its PBEsol-relaxed geometry.

Summary:
Density of states at the Fermi level = 1.970 states/eV/f.u.
Calculated formation energy = -1285 meV/atom
Space group = I4_1md (109)
Spin magnetization = 0.0 μB per cell

a b c (Å): 4.0976 4.0976 14.0793
angles (deg): 90.00 90.00 90.00
Fractional positions:
Pr 0.0000 0.0000 0.0000
Pr 0.0000 0.5000 0.2500
Pr 0.5000 0.0000 0.7500
Pr 0.5000 0.5000 0.5000
P 0.0000 0.0000 0.4205
P 0.0000 0.5000 0.6705
P 0.5000 0.0000 0.1705
P 0.5000 0.5000 0.9205
Ir 0.0000 0.0000 0.5883
Ir 0.0000 0.5000 0.8383
Ir 0.5000 0.0000 0.3383
Ir 0.5000 0.5000 0.0883

***

Record 7
## PIr2Pt (SCAN)

Data for PIr2Pt at its PBEsol-relaxed geometry.

Summary:
Density of states at the Fermi level = 1.935 states/eV/f.u.
Calculated formation energy = 240 meV/atom
Space group = P4/mmm (123)
Spin magnetization = 0.0 μB per cell

a b c (Å): 3.9119 3.9119 3.6485
angles (deg): 90.00 90.00 90.00
Fractional positions:
P 0.0000 0.0000 0.0000
Ir 0.0000 0.5000 0.5000
Ir 0.5000 0.0000 0.5000
Pt 0.5000 0.5000 0.0000

***

Record 8
## PIrPt2 (SCAN)

Data for PIrPt2 at its PBEsol-relaxed geometry.

Summary:
Density of states at the Fermi level = 4.143 states/eV/f.u.
Calculated formation energy = 309 meV/atom
Space group = F-43m (216)
Spin magnetization = 0.0 μB per cell

a b c (Å): 6.1374 6.1374 6.1374
angles (deg): 90.00 90.00 90.00
Fractional positions:
P 0.0000 0.0000 0.0000
P 0.0000 0.5000 0.5000
P 0.5000 0.0000 0.5000
P 0.5000 0.5000 0.0000
Ir 0.2500 0.2500 0.7500
Ir 0.2500 0.7500 0.2500
Ir 0.7500 0.2500 0.2500
Ir 0.7500 0.7500 0.7500
Pt 0.0000 0.0000 0.5000
Pt 0.0000 0.5000 0.0000
Pt 0.2500 0.2500 0.2500
Pt 0.2500 0.7500 0.7500
Pt 0.5000 0.0000 0.0000
Pt 0.5000 0.5000 0.5000
Pt 0.7500 0.2500 0.7500
Pt 0.7500 0.7500 0.2500